Compound: MgGaCu2S4
Source: Alexandria
Functional: PBE-GGA
Structure: optimized geometry

Calculated values
ΔE_f (raw): -5.4 eV per formula unit
total magnetic moment: 0.00 μB/f.u.

a = 5.4205 Å, b = 5.4205 Å, c = 10.7757 Å
α = 90.00°, β = 90.00°, γ = 90.00°
With the nearest neighbours (Å) after each atom.
Space group I-42m (No. 121)
Unique sites:
Mg1 0.0000 0.0000 0.0000 (multiplicity 2)  4 S 2.45
Ga1 0.0000 0.0000 0.5000 (multiplicity 2)  4 S 2.31
Cu1 0.0000 0.5000 0.2500 (multiplicity 4)  4 S 2.31
S1 0.2385 0.2385 0.3688 (multiplicity 8)  2 Cu 2.31, 1 Ga 2.31, 1 Mg 2.45


Compound: La2MnOs
Source: Alexandria
Functional: PBE-GGA
Structure: optimized geometry

Calculated values
E above lowest polymorph: 0.2330 eV/atom
E_form: 227 meV/atom
total magnetic moment: 2.47 μB/f.u.

a = 3.2725 Å, b = 3.2725 Å, c = 8.9769 Å
α = 90.00°, β = 90.00°, γ = 90.00°
With the nearest neighbours (Å) after each atom.
Space group P4mm (No. 99)
Unique sites:
La1 0.0000 0.0000 0.0000 (multiplicity 1)  4 Os 3.12, 1 Mn 3.21, 4 La 3.27
La2 0.5000 0.5000 0.3949 (multiplicity 1)  4 Mn 3.21, 4 La 3.27, 1 Os 3.35
Mn1 0.0000 0.0000 0.6427 (multiplicity 1)  4 Os 2.57
Os1 0.5000 0.5000 0.7677 (multiplicity 1)  4 Mn 2.57


The highest total magnetic moment belongs to which entry? La2MnOs